No. 1
KSc2Zn2 | GGA-PBE | optimized geometry

Cell: 4.426 4.426 13.492 Å, 90.00 90.00 90.00°
Space group I4/mmm (No. 139)
Asymmetric unit:
1 K 0.000 0.000 0.000
2 Sc 0.000 0.500 0.250
3 Zn 0.000 0.000 0.397

Properties
* magnetic moment: 0.2126 μB/atom
* density of states at the Fermi level: 1.452 states/eV per atom
* final energy: -0.1127 hartree per atom
* ΔH_f (0 K): 0.194 eV/atom



No. 2
Zn5Cu2Rh | GGA-PBE | optimized geometry

Cell: 3.858 3.858 14.563 Å, 90.00 90.00 90.00°
Space group I4/mmm (No. 139)
Asymmetric unit:
1 Zn 0.000 0.000 0.000
2 Zn 0.000 0.500 0.130
3 Cu 0.000 0.000 0.253
4 Rh 0.000 0.000 0.500

Properties
* magnetic moment: 0.0000 μB/atom
* density of states at the Fermi level: 0.164 states/eV per atom
* final energy: -0.1086 hartree per atom
* ΔH_f (0 K): -0.215 eV/atom



Repeat the second record exactly.
Zn5Cu2Rh | GGA-PBE | optimized geometry

Cell: 3.858 3.858 14.563 Å, 90.00 90.00 90.00°
Space group I4/mmm (No. 139)
Asymmetric unit:
1 Zn 0.000 0.000 0.000
2 Zn 0.000 0.500 0.130
3 Cu 0.000 0.000 0.253
4 Rh 0.000 0.000 0.500

Properties
* magnetic moment: 0.0000 μB/atom
* density of states at the Fermi level: 0.164 states/eV per atom
* final energy: -0.1086 hartree per atom
* ΔH_f (0 K): -0.215 eV/atom



Question: ΔH_f (0 K) of number 2 (Zn5Cu2Rh)?
Answer: -0.215 eV/atom



Question: Among the records above, which one has the lowest ΔH_f (0 K)?
Answer: Zn5Cu2Rh



What did the first record say?
KSc2Zn2 | GGA-PBE | optimized geometry

Cell: 4.426 4.426 13.492 Å, 90.00 90.00 90.00°
Space group I4/mmm (No. 139)
Asymmetric unit:
1 K 0.000 0.000 0.000
2 Sc 0.000 0.500 0.250
3 Zn 0.000 0.000 0.397

Properties
* magnetic moment: 0.2126 μB/atom
* density of states at the Fermi level: 1.452 states/eV per atom
* final energy: -0.1127 hartree per atom
* ΔH_f (0 K): 0.194 eV/atom